Entry 1
KSr3Pd, optimized geometry, DFT PBE-GGA; DOS at the Fermi energy = 3.065 states/eV/f.u.; M_tot = 0.0 μB per formula unit; SG = C2/c (15)
1.0
15.2265 0.0000 0.2314
6.2341 7.9429 -3.6645
-6.2341 7.9429 3.6645
K Pd Sr
4 4 12
direct
0.1130 0.3305 0.3029
0.8870 0.6695 0.6971
0.6130 0.1971 0.1695
0.3870 0.8029 0.8305
0.7500 0.5001 0.0001
0.2500 0.4999 0.9999
0.7500 0.1857 0.6857
0.2500 0.8143 0.3143
0.1540 0.5494 0.6116
0.0076 0.9430 0.7077
0.6540 0.8884 0.9506
0.8460 0.4506 0.3884
0.3460 0.1116 0.0494
0.9924 0.0570 0.2923
0.9610 0.2271 0.9236
0.5390 0.4236 0.7271
0.4610 0.5764 0.2729
0.4924 0.2077 0.4430
0.5076 0.7923 0.5570
0.0390 0.7729 0.0764

***

Entry 2
KSr3Pd, optimized geometry, DFT PBE-GGA; DOS at the Fermi energy = 5.758 states/eV/f.u.; M_tot = 0.0 μB per formula unit; SG = R3m (160)
1.0
-6.1649 -2.9857 5.6831
-1.1779 -8.5288 2.2561
1.6847 -3.4489 8.0302
Sr K Pd
3 1 1
direct
0.6343 0.6343 0.1109
0.1109 0.6343 0.6343
0.6343 0.1109 0.6343
0.6222 0.6222 0.6222
0.8732 0.8732 0.8732

***

Entry 3
KSr3Pd, optimized geometry, DFT PBE-GGA; DOS at the Fermi energy = 3.479 states/eV/f.u.; M_tot = 0.0 μB per formula unit; SG = P2_1/c (14)
1.0
-30.3474 -9.7126 2.1639
2.5319 -7.5052 1.8207
11.2068 4.4496 2.7577
Sr K Pd
12 4 4
direct
0.8117 0.5958 0.4793
0.5864 0.1248 0.4245
0.1437 0.9532 0.2459
0.6883 0.0958 0.0207
0.0864 0.3752 0.9245
0.4136 0.8752 0.5755
0.9136 0.6248 0.0755
0.8563 0.0468 0.7541
0.3117 0.9042 0.9793
0.3563 0.4532 0.2541
0.1883 0.4042 0.5207
0.6437 0.5468 0.7459
0.5247 0.3335 0.9607
0.0247 0.1665 0.4607
0.9753 0.8335 0.5393
0.4753 0.6665 0.0393
0.5529 0.7482 0.7186
0.9471 0.2482 0.7814
0.4471 0.2518 0.2814
0.0529 0.7518 0.2186

***

Which structure is the least stable? The one labeled entry 2.

***

Entry 1
KSr3Pd, optimized geometry, DFT PBE-GGA; DOS at the Fermi energy = 4.310 states/eV/f.u.; M_tot = 0.0 μB per formula unit; SG = P4mm (99)
1.0
-0.7676 3.2066 3.7727
-3.5579 -3.0123 1.8363
7.7584 -5.4022 6.1702
K Sr Pd
1 3 1
direct
0.0000 0.0000 0.0975
0.0000 0.5000 0.4330
0.0000 0.0000 0.7049
0.5000 0.0000 0.4330
0.5000 0.5000 0.5954

***

Entry 2
KSr3Pd, optimized geometry, DFT PBE-GGA; DOS at the Fermi energy = 4.672 states/eV/f.u.; M_tot = 0.0 μB per formula unit; SG = Amm2 (38)
1.0
4.3091 0.0000 0.0000
0.0000 4.1460 -11.0872
0.0000 4.1460 11.0872
Sr Pd K
3 1 1
direct
0.5000 0.1739 0.3333
0.5000 0.6667 0.8261
0.0000 0.2790 0.7210
0.0000 0.4100 0.5900
0.5000 0.0984 0.9016

***

Entry 3
KSr3Pd, optimized geometry, DFT PBE-GGA; DOS at the Fermi energy = 4.432 states/eV/f.u.; M_tot = 0.0 μB per formula unit; SG = Amm2 (38)
1.0
4.4267 0.0000 0.0000
0.0000 6.0856 -4.4653
0.0000 6.0856 4.4653
Sr K Pd
3 1 1
direct
0.0000 0.1660 0.8340
0.5000 0.1688 0.3185
0.5000 0.6815 0.8312
0.0000 0.6711 0.3289
0.5000 0.9407 0.0593

***

Entry 4
KSr3Pd, optimized geometry, DFT PBE-GGA; DOS at the Fermi energy = 4.164 states/eV/f.u.; M_tot = 0.0 μB per formula unit; SG = P6_3/mmc (194)
1.0
-3.2849 -1.8001 3.3142
1.3794 -2.7844 -3.9190
19.7598 -10.0749 14.1132
Pd Sr K
2 6 2
direct
0.6667 0.3333 0.2500
0.3333 0.6667 0.7500
0.0000 0.0000 0.7500
0.3333 0.6667 0.8652
0.6667 0.3333 0.3652
0.0000 0.0000 0.2500
0.3333 0.6667 0.6348
0.6667 0.3333 0.1348
0.0000 0.0000 0.5000
0.0000 0.0000 0.0000

***

Which structure is the least stable? The one labeled entry 2.

***

Entry 1
KSr3Pd, optimized geometry, DFT PBE-GGA; DOS at the Fermi energy = 8.255 states/eV/f.u.; M_tot = 0.0 μB per formula unit; SG = I-4m2 (119)
1.0
6.6987 0.0000 0.0000
0.0000 6.6987 0.0000
3.3494 3.3494 14.6655
Sr Pd K
6 2 2
direct
0.2893 0.2893 0.4214
0.1399 0.3793 0.7202
0.6207 0.8601 0.2798
0.0995 0.8601 0.2798
0.7107 0.7107 0.5786
0.1399 0.9005 0.7202
0.7039 0.2039 0.5922
0.7961 0.2961 0.4078
0.0000 0.0000 0.0000
0.2500 0.7500 0.5000

***

Entry 2
KSr3Pd, optimized geometry, DFT PBE-GGA; DOS at the Fermi energy = 3.620 states/eV/f.u.; M_tot = 0.0 μB per formula unit; SG = P-1 (2)
1.0
-0.6035 -2.7177 -7.0294
5.1965 0.4423 -3.5873
1.5659 -10.3396 4.3237
Sr K Pd
6 2 2
direct
0.2703 0.1724 0.2799
0.0978 0.1275 0.7746
0.6521 0.5348 0.3547
0.7159 0.7650 0.6998
0.9821 0.8817 0.4422
0.3860 0.4181 0.6122
0.4810 0.4852 0.9843
0.8874 0.8146 0.0702
0.3515 0.9279 0.5407
0.0165 0.3719 0.5138

***

Entry 3
KSr3Pd, optimized geometry, DFT PBE-GGA; DOS at the Fermi energy = 4.598 states/eV/f.u.; M_tot = 0.0 μB per formula unit; SG = R-3 (148)
1.0
4.3718 0.0000 10.9063
-2.1859 3.7861 10.9063
-2.1859 -3.7861 10.9063
K Pd Sr
2 2 6
direct
0.8332 0.8332 0.8332
0.1668 0.1668 0.1668
0.6676 0.6676 0.6676
0.3324 0.3324 0.3324
0.3885 0.0548 0.7112
0.6115 0.9452 0.2888
0.2888 0.6115 0.9452
0.9452 0.2888 0.6115
0.7112 0.3885 0.0548
0.0548 0.7112 0.3885

***

Which structure is the least stable? The one labeled entry 1.